Entry from the Alexandria database: an optimized crystal structure of Be6FeIr5 (GGA-PBE).

Results
The calculated formation energy comes out at -0.525 eV/atom.

Structure (CIF):
```
data_Be6FeIr5
_space_group_name_H-M_alt 'P 1'
_space_group_IT_number 1
_space_group_name_Hall 'P 1'
_cell_length_a 3.937
_cell_length_b 5.629
_cell_length_c 6.829
_cell_angle_alpha 114.34
_cell_angle_beta 106.83
_cell_angle_gamma 90.00
loop_
_atom_site_label
_atom_site_type_symbol
_atom_site_fract_x
_atom_site_fract_y
_atom_site_fract_z
_atom_site_occupancy
Be1 Be 0.500 0.274 0.000 1
Be2 Be 0.500 0.726 0.000 1
Be3 Be 0.827 0.565 0.654 1
Be4 Be 0.827 0.089 0.654 1
Be5 Be 0.173 0.435 0.346 1
Be6 Be 0.173 0.911 0.346 1
Ir1 Ir 0.670 0.670 0.339 1
Ir2 Ir 0.000 0.500 0.000 1
Ir3 Ir 0.652 0.153 0.305 1
Ir4 Ir 0.348 0.847 0.695 1
Ir5 Ir 0.330 0.330 0.661 1
Fe1 Fe 0.000 0.000 0.000 1
```


Entry from the Alexandria database: an optimized crystal structure of BeFeIr (GGA-PBE).

Results
For the relative energy among the computed polymorphs, the calculation gives 239 meV per atom. The calculated formation energy comes out at -0.010 eV/atom.

Structure (CIF):
```
data_BeFeIr
_space_group_name_H-M_alt 'P 1'
_space_group_IT_number 1
_space_group_name_Hall 'P 1'
_cell_length_a 6.243
_cell_length_b 6.006
_cell_length_c 2.614
_cell_angle_alpha 82.81
_cell_angle_beta 72.65
_cell_angle_gamma 24.54
loop_
_atom_site_label
_atom_site_type_symbol
_atom_site_fract_x
_atom_site_fract_y
_atom_site_fract_z
_atom_site_occupancy
Be1 Be 0.001 0.001 0.999 1
Fe1 Fe 0.656 0.656 0.344 1
Ir1 Ir 0.344 0.344 0.656 1
```


Entry from the Alexandria database: an optimized crystal structure of BeFe4Ir (GGA-PBE).

Results
The calculated formation energy comes out at 0.142 eV/atom.

Structure (CIF):
```
data_BeFe4Ir
_space_group_name_H-M_alt 'P 1'
_space_group_IT_number 1
_space_group_name_Hall 'P 1'
_cell_length_a 4.664
_cell_length_b 4.664
_cell_length_c 4.664
_cell_angle_alpha 60.00
_cell_angle_beta 60.00
_cell_angle_gamma 60.00
loop_
_atom_site_label
_atom_site_type_symbol
_atom_site_fract_x
_atom_site_fract_y
_atom_site_fract_z
_atom_site_occupancy
Ir1 Ir 0.250 0.250 0.250 1
Be1 Be 0.000 0.000 0.000 1
Fe1 Fe 0.625 0.625 0.625 1
Fe2 Fe 0.625 0.125 0.625 1
Fe3 Fe 0.625 0.625 0.125 1
Fe4 Fe 0.125 0.625 0.625 1
```


Entry from the Alexandria database: an optimized crystal structure of BeFeIr (GGA-PBE).

Results
For the relative energy among the computed polymorphs, the calculation gives 135 meV per atom. The calculated formation energy comes out at -0.114 eV/atom.

Structure (CIF):
```
data_BeFeIr
_space_group_name_H-M_alt 'P 1'
_space_group_IT_number 1
_space_group_name_Hall 'P 1'
_cell_length_a 4.278
_cell_length_b 4.278
_cell_length_c 4.278
_cell_angle_alpha 143.87
_cell_angle_beta 132.21
_cell_angle_gamma 61.34
loop_
_atom_site_label
_atom_site_type_symbol
_atom_site_fract_x
_atom_site_fract_y
_atom_site_fract_z
_atom_site_occupancy
Fe1 Fe 0.335 0.335 0.000 1
Ir1 Ir 0.666 0.666 0.000 1
Be1 Be 0.999 0.999 0.000 1
```


Entry from the Alexandria database: an optimized crystal structure of Be2FeIr (GGA-PBE).

Results
The calculated formation energy comes out at -0.131 eV/atom.

Structure (CIF):
```
data_Be2FeIr
_space_group_name_H-M_alt 'P 1'
_space_group_IT_number 1
_space_group_name_Hall 'P 1'
_cell_length_a 4.434
_cell_length_b 4.434
_cell_length_c 2.590
_cell_angle_alpha 76.71
_cell_angle_beta 76.71
_cell_angle_gamma 111.26
loop_
_atom_site_label
_atom_site_type_symbol
_atom_site_fract_x
_atom_site_fract_y
_atom_site_fract_z
_atom_site_occupancy
Be1 Be 0.500 0.500 0.000 1
Be2 Be 0.000 0.000 0.000 1
Ir1 Ir 0.000 0.500 0.500 1
Fe1 Fe 0.500 0.000 0.500 1
```


Entry from the Alexandria database: an optimized crystal structure of Be2FeIr (GGA-PBE).

Results
The calculated formation energy comes out at 0.134 eV/atom.

Structure (CIF):
```
data_Be2FeIr
_space_group_name_H-M_alt 'P 1'
_space_group_IT_number 1
_space_group_name_Hall 'P 1'
_cell_length_a 5.992
_cell_length_b 5.992
_cell_length_c 4.925
_cell_angle_alpha 52.53
_cell_angle_beta 52.53
_cell_angle_gamma 90.00
loop_
_atom_site_label
_atom_site_type_symbol
_atom_site_fract_x
_atom_site_fract_y
_atom_site_fract_z
_atom_site_occupancy
Be1 Be 0.375 0.381 0.750 1
Be2 Be 0.131 0.625 0.250 1
Be3 Be 0.875 0.869 0.750 1
Be4 Be 0.619 0.125 0.250 1
Ir1 Ir 0.750 0.250 0.500 1
Ir2 Ir 0.000 0.000 0.000 1
Fe1 Fe 0.250 0.750 0.500 1
Fe2 Fe 0.500 0.500 0.000 1
```


Entry from the Alexandria database: an optimized crystal structure of Be2FeIr (GGA-PBE).

Results
The calculated formation energy comes out at -0.185 eV/atom.

Structure (CIF):
```
data_Be2FeIr
_space_group_name_H-M_alt 'P 1'
_space_group_IT_number 1
_space_group_name_Hall 'P 1'
_cell_length_a 3.961
_cell_length_b 3.961
_cell_length_c 3.961
_cell_angle_alpha 60.00
_cell_angle_beta 60.00
_cell_angle_gamma 60.00
loop_
_atom_site_label
_atom_site_type_symbol
_atom_site_fract_x
_atom_site_fract_y
_atom_site_fract_z
_atom_site_occupancy
Ir1 Ir 0.750 0.750 0.750 1
Be1 Be 0.250 0.250 0.250 1
Be2 Be 0.000 0.000 0.000 1
Fe1 Fe 0.500 0.500 0.500 1
```


Entry from the Alexandria database: an optimized crystal structure of LiBeFeIr (GGA-PBE).

Results
The calculated formation energy comes out at -0.166 eV/atom.

Structure (CIF):
```
data_LiBeFeIr
_space_group_name_H-M_alt 'P 1'
_space_group_IT_number 1
_space_group_name_Hall 'P 1'
_cell_length_a 4.047
_cell_length_b 4.047
_cell_length_c 4.047
_cell_angle_alpha 60.00
_cell_angle_beta 60.00
_cell_angle_gamma 60.00
loop_
_atom_site_label
_atom_site_type_symbol
_atom_site_fract_x
_atom_site_fract_y
_atom_site_fract_z
_atom_site_occupancy
Be1 Be 0.250 0.250 0.250 1
Li1 Li 0.000 0.000 0.000 1
Ir1 Ir 0.500 0.500 0.500 1
Fe1 Fe 0.750 0.750 0.750 1
```


Entry from the Alexandria database: an optimized crystal structure of MnBeFeIr (GGA-PBE).

Results
The calculated formation energy comes out at -0.198 eV/atom.

Structure (CIF):
```
data_MnBeFeIr
_space_group_name_H-M_alt 'P 1'
_space_group_IT_number 1
_space_group_name_Hall 'P 1'
_cell_length_a 4.007
_cell_length_b 4.007
_cell_length_c 4.007
_cell_angle_alpha 60.00
_cell_angle_beta 60.00
_cell_angle_gamma 60.00
loop_
_atom_site_label
_atom_site_type_symbol
_atom_site_fract_x
_atom_site_fract_y
_atom_site_fract_z
_atom_site_occupancy
Mn1 Mn 0.500 0.500 0.500 1
Fe1 Fe 0.750 0.750 0.750 1
Ir1 Ir 0.250 0.250 0.250 1
Be1 Be 0.000 0.000 0.000 1
```


Entry from the Alexandria database: an optimized crystal structure of BeFeMoIr (GGA-PBE).

Results
The calculated formation energy comes out at -0.124 eV/atom.

Structure (CIF):
```
data_BeFeMoIr
_space_group_name_H-M_alt 'P 1'
_space_group_IT_number 1
_space_group_name_Hall 'P 1'
_cell_length_a 4.147
_cell_length_b 4.147
_cell_length_c 4.147
_cell_angle_alpha 60.00
_cell_angle_beta 60.00
_cell_angle_gamma 60.00
loop_
_atom_site_label
_atom_site_type_symbol
_atom_site_fract_x
_atom_site_fract_y
_atom_site_fract_z
_atom_site_occupancy
Be1 Be 0.250 0.250 0.250 1
Ir1 Ir 0.000 0.000 0.000 1
Mo1 Mo 0.500 0.500 0.500 1
Fe1 Fe 0.750 0.750 0.750 1
```


Entry from the Alexandria database: an optimized crystal structure of Na2BeFeIr (GGA-PBE).

Results
The calculated formation energy comes out at 1.204 eV/atom.

Structure (CIF):
```
data_Na2BeFeIr
_space_group_name_H-M_alt 'P 1'
_space_group_IT_number 1
_space_group_name_Hall 'P 1'
_cell_length_a 5.354
_cell_length_b 4.177
_cell_length_c 5.354
_cell_angle_alpha 90.00
_cell_angle_beta 90.00
_cell_angle_gamma 90.00
loop_
_atom_site_label
_atom_site_type_symbol
_atom_site_fract_x
_atom_site_fract_y
_atom_site_fract_z
_atom_site_occupancy
Ir1 Ir 0.000 0.000 0.000 1
Fe1 Fe 0.500 0.500 0.500 1
Na1 Na 0.000 0.000 0.500 1
Na2 Na 0.500 0.000 0.000 1
Be1 Be 0.000 0.500 0.000 1
```


Entry from the Alexandria database: an optimized crystal structure of BeFeNiIr (GGA-PBE).

Results
The calculated formation energy comes out at -0.219 eV/atom.

Structure (CIF):
```
data_BeFeNiIr
_space_group_name_H-M_alt 'P 1'
_space_group_IT_number 1
_space_group_name_Hall 'P 1'
_cell_length_a 4.036
_cell_length_b 4.036
_cell_length_c 4.036
_cell_angle_alpha 60.00
_cell_angle_beta 60.00
_cell_angle_gamma 60.00
loop_
_atom_site_label
_atom_site_type_symbol
_atom_site_fract_x
_atom_site_fract_y
_atom_site_fract_z
_atom_site_occupancy
Ir1 Ir 0.750 0.750 0.750 1
Ni1 Ni 0.250 0.250 0.250 1
Be1 Be 0.500 0.500 0.500 1
Fe1 Fe 0.000 0.000 0.000 1
```


Number 1: total moment 3.36 μB per formula unit. Number 2: total moment 2.65 μB per formula unit. Number 3: total moment 9.17 μB per formula unit. Number 4: total moment 0.23 μB per formula unit. Number 5: total moment 1.45 μB per formula unit. Number 6: total moment 2.57 μB per formula unit. Number 7: total moment 2.59 μB per formula unit. Number 8: total moment 2.95 μB per formula unit. Number 9: total moment 2.02 μB per formula unit. Number 10: total moment 2.26 μB per formula unit. Number 11: total moment 3.66 μB per formula unit. Number 12: total moment 4.12 μB per formula unit.